Density functional theory data (PBE) for a geometry-optimized Sr2TlPd structure.

abc: 5.5434 5.5434 5.5434
angles: 60.00 60.00 60.00
Positions (direct):
Sr1 0.2500 0.2500 0.2500
Sr2 0.7500 0.7500 0.7500
Tl1 0.0000 0.0000 0.0000
Pd1 0.5000 0.5000 0.5000

Properties
* SG: Fm-3m, No. 225
* ΔH_f (0 K): -0.386 eV/atom
* total energy: -3.12 eV/atom
* magnetic moment: 0.000 μB/atom
* ΔE to the lowest computed polymorph: 0.080 eV/atom